# 1
Compound: KFeGeO4
Source: Alexandria via LeMat-Bulk
Functional: GGA+U
Structure: optimized geometry

## Properties
Energy in hartree per atom: -0.22096
DOS(E_F) in states/eV/atom: 0.00
Spin magnetization in μB/atom: 0.719

Cell and atoms, written as extended XYZ:
```
14
Lattice="5.343 0.000 0.000 0.000 5.605 0.000 -1.610 0.000 6.904" Properties=species:S:1:pos:R:3 pbc="T T T"
K 0.584 1.401 0.678
K 3.150 4.203 6.225
Fe 0.113 4.203 3.251
Fe 3.621 1.401 3.653
Ge 0.999 1.401 4.553
Ge 2.735 4.203 2.351
O -0.271 0.111 4.625
O -0.271 2.692 4.625
O 1.247 4.203 1.409
O 1.765 1.401 2.954
O 1.969 4.203 3.950
O 2.486 1.401 5.495
O 4.005 2.913 2.279
O 4.005 5.494 2.279
```

---

# 2
Compound: K3FeGe2O6
Source: Alexandria via LeMat-Bulk
Functional: GGA+U
Structure: optimized geometry

## Properties
Energy in hartree per atom: -0.19986
DOS(E_F) in states/eV/atom: 0.15
Spin magnetization in μB/atom: 0.282

Cell and atoms, written as extended XYZ:
```
12
Lattice="5.802 0.000 0.000 -2.901 5.025 0.000 0.000 0.000 6.985" Properties=species:S:1:pos:R:3 pbc="T T T"
K 0.000 0.000 0.000
K 0.000 3.350 4.816
K 2.901 1.675 2.170
Fe 0.000 0.000 3.493
Ge 0.000 3.350 1.711
Ge 2.901 1.675 5.274
O 0.000 1.651 2.253
O -1.471 4.199 2.253
O 1.430 0.826 4.733
O 1.471 4.199 2.253
O 4.372 0.826 4.733
O 2.901 3.374 4.733
```